Entry 1:
Density functional theory data (PBE-GGA) for an optimized crystal structure of Th8CuTc3Te4.

abc: 8.377 9.112 8.376
angles: 117.36 120.00 90.00
Atoms (fractional coordinates):
Th1 0.761 0.299 0.038
Tc1 0.000 0.500 0.500
Cu1 0.000 0.500 0.000
Th2 0.277 0.299 0.038
Te1 0.000 0.000 0.000
Te2 0.000 0.000 0.500
Th3 0.239 0.701 0.962
Th4 0.735 0.704 0.469
Te3 0.500 0.000 0.000
Te4 0.500 0.000 0.500
Tc2 0.500 0.500 0.500
Tc3 0.500 0.500 0.000
Th5 0.265 0.296 0.531
Th6 0.761 0.300 0.522
Th7 0.239 0.700 0.478
Th8 0.723 0.701 0.962

Computed properties:
**E_tot**: -7.323 eV/atom
**D(E_F)**: 7.80 states/eV/f.u.
**Formation energy (no corrections)**: -0.6285 eV per atom
**Size of the total moment**: 0.0 μB/cell

Entry 2:
Density functional theory data (PBE-GGA) for an optimized crystal structure of Pa2HgPd9.

abc: 4.140 4.140 12.242
angles: 90.00 90.00 90.00
Atoms (fractional coordinates):
Pd1 0.500 0.000 0.830
Pa1 0.000 0.000 0.325
Pd2 0.500 0.500 0.665
Pd3 0.500 0.500 0.335
Pd4 0.000 0.500 0.500
Pd5 0.000 0.500 0.830
Pa2 0.000 0.000 0.675
Pd6 0.500 0.500 0.000
Hg1 0.000 0.000 0.000
Pd7 0.500 0.000 0.500
Pd8 0.000 0.500 0.170
Pd9 0.500 0.000 0.170

Computed properties:
**Energy relative to the elements**: -7.7 eV per formula unit
**E_tot**: -6.146 eV/atom
**D(E_F)**: 3.02 states/eV/f.u.
**Size of the total moment**: 0.0 μB/cell